[1]
Crystalline BeGeHRh2 at its relaxed geometry, computed with PBE.

Computed properties:
DFT total energy in eV/cell: -27.83
N(E_F) in states/eV per cell: 1.2

a = 3.959 Å, b = 3.959 Å, c = 3.420 Å
α = 90.00°, β = 90.00°, γ = 90.00°
Element x y z (fractional)
Rh1 0.500 0.000 0.000
Rh2 0.000 0.500 0.000
Be1 0.000 0.000 0.500
Ge1 0.500 0.500 0.500
H1 0.000 0.000 0.000

=====

[2]
Crystalline Pa2BeSiNi6 at its relaxed geometry, computed with PBE.

Computed properties:
Raw formation energy in kJ/mol of formula units: -159
DFT total energy in eV/cell: -64.48
N(E_F) in states/eV per cell: 8.1

a = 5.929 Å, b = 5.929 Å, c = 5.929 Å
α = 60.00°, β = 60.00°, γ = 90.00°
Element x y z (fractional)
Si1 0.000 0.000 0.000
Ni1 0.738 0.738 0.000
Ni2 0.262 0.262 0.477
Ni3 0.738 0.262 0.000
Ni4 0.262 0.738 0.000
Ni5 0.262 0.262 0.000
Ni6 0.738 0.738 0.523
Pa1 0.750 0.250 0.500
Pa2 0.250 0.750 0.500
Be1 0.500 0.500 0.000

=====

[3]
Crystalline SmP2Pd8 at its relaxed geometry, computed with PBE.

Computed properties:
E_form in eV per formula unit: -3.20
DFT total energy in eV/cell: -60.28
N(E_F) in states/eV per cell: 3.2

a = 5.527 Å, b = 5.527 Å, c = 7.161 Å
α = 90.00°, β = 90.00°, γ = 90.00°
Element x y z (fractional)
Pd1 0.753 0.247 0.199
Pd2 0.247 0.753 0.801
Pd3 0.247 0.247 0.199
Pd4 0.753 0.753 0.199
Pd5 0.247 0.753 0.199
Pd6 0.247 0.247 0.801
Pd7 0.753 0.753 0.801
Pd8 0.753 0.247 0.801
P1 0.500 0.000 0.000
P2 0.000 0.500 0.000
Sm1 0.500 0.500 0.500

=====

[4]
Crystalline AlC3Cl at its relaxed geometry, computed with PBE.

Computed properties:
Relative energy among the computed polymorphs in meV/atom: 553.6
Raw formation energy in kJ/mol of formula units: 1542
DFT total energy in eV/cell: -17.28
N(E_F) in states/eV per cell: 3.3

a = 3.766 Å, b = 3.766 Å, c = 3.766 Å
α = 90.00°, β = 90.00°, γ = 90.00°
Element x y z (fractional)
Al1 0.500 0.500 0.500
C1 0.500 0.000 0.000
C2 0.000 0.000 0.500
C3 0.000 0.500 0.000
Cl1 0.000 0.000 0.000

=====

[5]
Crystalline ThGeRh4 at its relaxed geometry, computed with PBE.

Computed properties:
Relative energy among the computed polymorphs in meV/atom: 0.0
E_form in eV per formula unit: -3.59
DFT total energy in eV/cell: -90.07
N(E_F) in states/eV per cell: 12.7

a = 4.001 Å, b = 6.988 Å, c = 7.423 Å
α = 90.00°, β = 90.00°, γ = 90.00°
Element x y z (fractional)
Rh1 0.500 0.302 0.949
Rh2 0.500 0.949 0.750
Rh3 0.500 0.698 0.051
Rh4 0.000 0.000 0.500
Rh5 0.500 0.698 0.449
Rh6 0.000 0.000 0.000
Rh7 0.500 0.051 0.250
Rh8 0.500 0.302 0.551
Th1 0.000 0.653 0.750
Th2 0.000 0.347 0.250
Ge1 0.000 0.223 0.750
Ge2 0.000 0.777 0.250

=====

[6]
Crystalline NpCdHgPd at its relaxed geometry, computed with PBE.

Computed properties:
E_form in eV per formula unit: 0.03
DFT total energy in eV/cell: -19.32
N(E_F) in states/eV per cell: 11.9

a = 5.005 Å, b = 5.005 Å, c = 5.005 Å
α = 60.00°, β = 60.00°, γ = 60.00°
Each line ends with the local moment (μB).
Element x y z (fractional)
Hg1 0.750 0.750 0.750  0.04
Np1 0.500 0.500 0.500  3.94
Pd1 0.250 0.250 0.250  -0.03
Cd1 0.000 0.000 0.000  0.02

=====

[7]
Crystalline Rb2UBr6Cl at its relaxed geometry, computed with PBE.

Computed properties:
Raw formation energy in kJ/mol of formula units: -1414
DFT total energy in eV/cell: -39.77

a = 10.278 Å, b = 7.998 Å, c = 10.638 Å
α = 66.56°, β = 67.33°, γ = 39.21°
Each line ends with the local moment (μB).
Element x y z (fractional)
Br1 0.489 0.817 0.146  -0.03
Br2 0.488 0.308 0.151  -0.03
Br3 0.194 0.763 0.838  -0.03
Br4 0.688 0.043 0.815  -0.04
Br5 0.192 0.289 0.836  -0.03
Br6 0.997 0.540 0.173  -0.04
Rb1 0.389 0.505 0.503  0.00
Rb2 0.976 0.089 0.122  0.00
Cl1 0.905 0.016 0.437  -0.04
U1 0.345 0.290 0.994  1.16

=====

[8]
Crystalline CaNdZn2 at its relaxed geometry, computed with PBE.

Computed properties:
Relative energy among the computed polymorphs in meV/atom: 9.3
E_form in eV per formula unit: -1.16
DFT total energy in eV/cell: -10.48
N(E_F) in states/eV per cell: 2.0

a = 3.678 Å, b = 5.208 Å, c = 5.208 Å
α = 90.00°, β = 90.00°, γ = 90.00°
Element x y z (fractional)
Zn1 0.000 0.000 0.500
Zn2 0.000 0.500 0.000
Ca1 0.500 0.000 0.000
Nd1 0.500 0.500 0.500

=====

[9]
Crystalline TbURh4 at its relaxed geometry, computed with PBE.

Computed properties:
E_form in eV per formula unit: -3.31
DFT total energy in eV/cell: -48.63
N(E_F) in states/eV per cell: 8.3

a = 5.323 Å, b = 5.323 Å, c = 5.323 Å
α = 60.00°, β = 60.00°, γ = 60.00°
Each line ends with the local moment (μB).
Element x y z (fractional)
Rh1 0.125 0.625 0.625  -0.11
Rh2 0.625 0.625 0.625  -0.11
Rh3 0.625 0.125 0.625  -0.11
Rh4 0.625 0.625 0.125  -0.11
Tb1 0.000 0.000 0.000  0.16
U1 0.250 0.250 0.250  2.03

=====

[10]
Crystalline LaCrIr2 at its relaxed geometry, computed with PBE.

Computed properties:
Relative energy among the computed polymorphs in meV/atom: 420.2
E_form in eV per formula unit: 0.78
DFT total energy in eV/cell: -31.49
N(E_F) in states/eV per cell: 5.3

a = 3.145 Å, b = 3.145 Å, c = 7.355 Å
α = 90.00°, β = 90.00°, γ = 90.00°
Element x y z (fractional)
Ir1 0.000 0.000 0.971
Ir2 0.500 0.500 0.207
La1 0.000 0.000 0.493
Cr1 0.500 0.500 0.828

=====

[11]
Crystalline YAlMoW2 at its relaxed geometry, computed with PBE.

Computed properties:
E_form in eV per formula unit: 7.47
DFT total energy in eV/cell: -39.47
N(E_F) in states/eV per cell: 4.4

a = 4.735 Å, b = 5.286 Å, c = 4.735 Å
α = 90.00°, β = 90.00°, γ = 90.00°
Element x y z (fractional)
W1 0.000 0.000 0.500
W2 0.500 0.000 0.000
Al1 0.500 0.500 0.500
Mo1 0.000 0.000 0.000
Y1 0.000 0.500 0.000

=====

[12]
Crystalline Tb4GaSeS2 at its relaxed geometry, computed with PBE.

Computed properties:
Raw formation energy in kJ/mol of formula units: -1238
DFT total energy in eV/cell: -46.12
N(E_F) in states/eV per cell: 3.1

a = 3.963 Å, b = 7.033 Å, c = 7.077 Å
α = 71.23°, β = 90.00°, γ = 90.00°
Element x y z (fractional)
Tb1 0.500 0.242 0.752
Tb2 0.500 0.758 0.248
Tb3 0.000 0.759 0.739
Tb4 0.000 0.241 0.261
Ga1 0.000 0.500 0.500
Se1 0.500 0.500 0.000
S1 0.000 0.000 0.000
S2 0.500 0.000 0.500